Material: K2VCuO4
Method: DFT, PBE with a Hubbard U
State: relaxed

Output
Total magnetic moment (μB/atom): 0.00
Space group: I-4, No. 82
Crystal system: tetragonal
VASP energy (eV per atom): -5.8262

Unit cell a=5.5647 b=5.5647 c=5.5647 alpha=96.87 beta=116.12 gamma=116.12
Last column: nearest neighbours and their distance in Å.
Fractional positions:
V 0.0000 0.5000 0.5000  4 O 1.76
O 0.0862 0.2388 0.5782  1 V 1.76
O 0.3394 0.8474 0.7612  1 V 1.76
O 0.6606 0.4218 0.5079  1 V 1.76
O 0.9138 0.4921 0.1526  1 V 1.76
K 0.5000 0.7500 0.2500  4 O 2.67
K 0.0000 0.0000 0.0000  8 O 2.95-3.07
Cu 0.5000 0.2500 0.7500  4 O 2.04